# 1
Material: Li2TbGa2Ag2
Method: DFT, PBE-GGA
State: relaxed

ΔH_f (0 K) in eV/f.u.: -2.33
Total moment in Bohr magnetons per cell: 0.0
Crystal system: monoclinic
E_tot in eV/atom: -3.22
SG: C2/m, No. 12
Calculated volume in A^3/atom: 18.53

Lattice parameters (Å, degrees): 4.5474 4.6059 7.5361 106.55 90.00 119.58
Atoms (fractional coordinates):
Ag 0.2638 0.5276 0.7848
Ag 0.7362 0.4724 0.2152
Tb 0.0000 0.0000 0.0000
Ga 0.5752 0.1504 0.7220
Ga 0.4248 0.8496 0.2780
Li 0.1396 0.2792 0.4286
Li 0.8604 0.7208 0.5714

# 2
Material: Ni2I2Cl
Method: DFT, PBE-GGA
State: relaxed

Total moment in Bohr magnetons per cell: 1.5
Crystal system: tetragonal
Offset from the most stable computed form in eV per formula unit: 0.00
E_tot in eV/atom: -3.31
Raw formation energy in eV/atom: -0.0070
SG: I4/mmm, No. 139
Calculated volume in A^3/atom: 22.49

Lattice parameters (Å, degrees): 3.8412 3.8412 8.0905 76.27 76.27 90.00
Last column: magnetic moment on the atom in μB.
Atoms (fractional coordinates):
Cl 0.0000 0.0000 0.0000  0.05
Ni 0.7500 0.2500 0.5000  0.59
Ni 0.2500 0.7500 0.5000  0.59
I 0.6389 0.6389 0.7222  0.10
I 0.3611 0.3611 0.2778  0.10

# 3
Material: PuCuO
Method: DFT, PBE-GGA
State: relaxed

Total moment in Bohr magnetons per cell: 0.0
Crystal system: monoclinic
E_tot in eV/atom: -8.81
Raw formation energy in eV/atom: -1.0176
SG: C2/m, No. 12
Calculated volume in A^3/atom: 14.33

Lattice parameters (Å, degrees): 3.1297 5.8210 4.9034 88.51 90.00 105.59
Atoms (fractional coordinates):
O 0.8562 0.7123 0.5595
O 0.1438 0.2877 0.4405
Pu 0.2890 0.5780 0.8411
Pu 0.7110 0.4220 0.1589
Cu 0.0354 0.0709 0.7743
Cu 0.9646 0.9291 0.2257